Record 1
VASP calculation (PBE) on MgNi2 after structural relaxation.

```
MgNi2
1.0
2.7098 0.0000 0.0000
0.0000 13.2887 0.0000
0.0000 0.0000 4.2706
Mg Ni
4 8
Direct
0.0000 0.1045 0.2500
0.0000 0.8955 0.7500
0.5000 0.3955 0.7500
0.5000 0.6045 0.2500
0.0000 0.2256 0.7500
0.0000 0.4354 0.2500
0.0000 0.5646 0.7500
0.0000 0.7744 0.2500
0.5000 0.0646 0.7500
0.5000 0.2744 0.2500
0.5000 0.7256 0.7500
0.5000 0.9354 0.2500
```

Output
The crystal system is orthorhombic. As for the magnetic moment: 0.103 μB/atom. The calculated formation energy is -0.04 eV per atom.

***

Record 2
VASP calculation (PBE) on As3Ru after structural relaxation.

```
As3Ru
1.0
2.9842 0.0000 0.0000
0.0000 5.0311 0.0000
0.0000 0.0000 9.3996
As Ru
6 2
Direct
0.0000 0.0000 0.0000
0.0000 0.5000 0.2833
0.0000 0.5000 0.7167
0.5000 0.0000 0.2833
0.5000 0.0000 0.7167
0.5000 0.5000 0.0000
0.0000 0.0000 0.5000
0.5000 0.5000 0.5000
```

Output
The energy above the most stable polymorph in this dataset is 331 meV per atom. The crystal system is orthorhombic. As for the magnetic moment: 0.000 μB/atom. The calculated formation energy is 0.31 eV per atom.

***

Record 3
VASP calculation (PBE) on FeSbAs3 after structural relaxation.

```
FeSbAs3
1.0
4.6416 0.0000 0.0000
0.0000 4.6416 0.0000
0.0000 0.0000 4.6416
Fe Sb As
1 1 3
Direct
0.0000 0.0000 0.0000
0.5000 0.5000 0.5000
0.0000 0.0000 0.5000
0.0000 0.5000 0.0000
0.5000 0.0000 0.0000
```

Output
The energy above the most stable polymorph in this dataset is 0 meV per atom. The crystal system is cubic. As for the magnetic moment: 0.000 μB/atom.

***

Record 4
VASP calculation (PBE) on Ho2MgZn9 after structural relaxation.

```
Ho2MgZn9
1.0
2.7216 1.5713 8.4542
-2.7216 1.5713 8.4542
0.0000 -3.1427 8.4542
Ho Mg Zn
2 1 9
Direct
0.1406 0.1406 0.1406
0.8594 0.8594 0.8594
0.0000 0.0000 0.0000
0.0770 0.5862 0.5862
0.3350 0.3350 0.3350
0.4138 0.4138 0.9230
0.4138 0.9230 0.4138
0.5000 0.5000 0.5000
0.5862 0.0770 0.5862
0.5862 0.5862 0.0770
0.6650 0.6650 0.6650
0.9230 0.4138 0.4138
```

Output
The crystal system is trigonal. As for the magnetic moment: 0.000 μB/atom. The calculated formation energy is -0.18 eV per atom.

***

Record 5
VASP calculation (PBE) on Ba2LiTc after structural relaxation.

```
Ba2LiTc
1.0
3.6826 0.0000 0.0000
0.0000 3.7760 0.0000
0.0000 0.0000 9.8244
Ba Li Tc
2 1 1
Direct
0.0000 0.0000 0.2052
0.0000 0.0000 0.7948
0.5000 0.5000 0.5000
0.5000 0.5000 0.0000
```

Output
The energy above the most stable polymorph in this dataset is 17 meV per atom. The crystal system is orthorhombic. As for the magnetic moment: 0.327 μB/atom. The calculated formation energy is 0.66 eV per atom.

***

Record 6
VASP calculation (PBE) on Dy8Bi5Pb after structural relaxation.

```
Dy8Bi5Pb
1.0
-4.6967 4.6967 4.6959
4.6967 -4.6967 4.6959
4.6967 4.6967 -4.6959
Dy Bi Pb
8 5 1
Direct
0.1246 0.3765 0.1058
0.1252 0.3780 0.6031
0.2707 0.0188 0.8942
0.4779 0.8748 0.2528
0.6220 0.2252 0.7472
0.6235 0.7293 0.7481
0.7748 0.5221 0.3969
0.9812 0.8754 0.2519
0.3759 0.2506 0.3738
0.5000 0.5000 0.0000
0.7494 0.1231 0.1253
0.8769 0.0022 0.6262
0.9978 0.6241 0.8747
0.2500 0.7500 0.5000
```

Output
The crystal system is tetragonal. As for the magnetic moment: 0.001 μB/atom. The calculated formation energy is -0.69 eV per atom.

***

Record 7
VASP calculation (PBE) on Pm2PS after structural relaxation.

```
Pm2PS
1.0
4.0118 0.0000 0.0000
-2.0059 3.4743 0.0000
0.0000 0.0000 21.1716
Pm P S
6 3 3
Direct
0.0000 0.0000 0.0000
0.0000 0.0000 0.1782
0.3333 0.6667 0.6667
0.3333 0.6667 0.8449
0.6667 0.3333 0.3333
0.6667 0.3333 0.5115
0.0000 0.0000 0.5881
0.3333 0.6667 0.2548
0.6667 0.3333 0.9215
0.0000 0.0000 0.7573
0.3333 0.6667 0.4239
0.6667 0.3333 0.0906
```

Output
The energy above the most stable polymorph in this dataset is 106 meV per atom. The crystal system is trigonal. As for the magnetic moment: 0.000 μB/atom.

***

Record 8
VASP calculation (PBE) on CaNb3P after structural relaxation.

```
CaNb3P
1.0
4.7653 0.0000 0.0000
0.0000 4.7653 0.0000
0.0000 0.0000 4.7653
Ca Nb P
1 3 1
Direct
0.0000 0.0000 0.0000
0.0000 0.5000 0.5000
0.5000 0.0000 0.5000
0.5000 0.5000 0.0000
0.5000 0.5000 0.5000
```

Output
The energy above the most stable polymorph in this dataset is 0 meV per atom. The crystal system is cubic. As for the magnetic moment: 0.000 μB/atom. The calculated formation energy is 0.19 eV per atom.